<1>
## NiBMoIr (PBE)

Data for an optimized crystal structure of NiBMoIr.

```
16
Lattice="5.8370 0.0000 0.0000 0.0000 5.8370 0.0000 0.0000 0.0000 5.8370" Properties=species:S:1:pos:R:3 pbc="T T T"
Ni 0.0000 0.0000 0.0000
Ni 0.0000 2.9185 2.9185
Ni 2.9185 0.0000 2.9185
Ni 2.9185 2.9185 0.0000
B 1.4592 1.4592 4.3777
B 1.4592 4.3777 1.4592
B 4.3777 1.4592 1.4592
B 4.3777 4.3777 4.3777
Mo 0.0000 0.0000 2.9185
Mo 0.0000 2.9185 0.0000
Mo 2.9185 0.0000 0.0000
Mo 2.9185 2.9185 2.9185
Ir 1.4592 1.4592 1.4592
Ir 1.4592 4.3777 4.3777
Ir 4.3777 1.4592 4.3777
Ir 4.3777 4.3777 1.4592
```

<2>
## NiBMoIr (PBE)

Data for an optimized crystal structure of NiBMoIr.

```
16
Lattice="5.7270 0.0000 0.0000 0.0000 5.7270 0.0000 0.0000 0.0000 5.7270" Properties=species:S:1:pos:R:3 pbc="T T T"
Ni 0.0000 0.0000 0.0000
Ni 0.0000 2.8635 2.8635
Ni 2.8635 0.0000 2.8635
Ni 2.8635 2.8635 0.0000
B 0.0000 0.0000 2.8635
B 0.0000 2.8635 0.0000
B 2.8635 0.0000 0.0000
B 2.8635 2.8635 2.8635
Mo 1.4318 1.4318 4.2953
Mo 1.4318 4.2953 1.4318
Mo 4.2953 1.4318 1.4318
Mo 4.2953 4.2953 4.2953
Ir 1.4318 1.4318 1.4318
Ir 1.4318 4.2953 4.2953
Ir 4.2953 1.4318 4.2953
Ir 4.2953 4.2953 1.4318
```

Which structure wins on stability? <2> wins.

<1>
## BIrNO (PBE)

Data for an optimized crystal structure of BIrNO.

```
8
Lattice="3.5253 0.0000 0.0000 0.0000 3.5253 0.0000 0.0000 0.0000 6.4204" Properties=species:S:1:pos:R:3 pbc="T T T"
B 0.8813 0.8813 0.5328
B 2.6440 2.6440 5.8876
Ir 0.8813 2.6440 3.2102
Ir 2.6440 0.8813 3.2102
N 0.8813 0.8813 2.0257
N 2.6440 2.6440 4.3946
O 0.8813 2.6440 0.0000
O 2.6440 0.8813 0.0000
```

<2>
## BIrNO (PBE)

Data for an optimized crystal structure of BIrNO.

```
8
Lattice="3.2196 0.0000 0.0000 0.0000 3.2196 0.0000 0.0000 0.0000 7.6292" Properties=species:S:1:pos:R:3 pbc="T T T"
B 0.8049 2.4147 0.0000
B 2.4147 0.8049 0.0000
Ir 0.8049 0.8049 2.4517
Ir 2.4147 2.4147 5.1775
N 0.8049 0.8049 0.3610
N 2.4147 2.4147 7.2682
O 0.8049 2.4147 3.8146
O 2.4147 0.8049 3.8146
```

Which structure wins on stability? <1> wins.